A relaxed structure of ScZn2C2, computed with GGA-PBE.

Calculated values
Its space group is I4/mmm. The calculated total energy comes out at -47.0 eV per cell. Its formation energy is 74 kJ per mole of atoms. For the density of states at the Fermi level, the calculation gives 0.481 states/eV/atom.

Lattice parameters (Å, degrees): 3.8917 3.8917 8.0504 90.00 90.00 90.00
Last column: nearest neighbours and their distance in Å.
Atoms (fractional coordinates):
Sc1 0.0000 0.0000 0.0000  8 C 2.80, 10 Zn 2.82-3.00
Sc2 0.5000 0.5000 0.5000  8 C 2.80, 10 Zn 2.82-3.00
Zn1 0.0000 0.0000 0.3502  4 C 2.11
Zn2 0.0000 0.0000 0.6498  4 C 2.11
Zn3 0.5000 0.5000 0.1498  4 C 2.11
Zn4 0.5000 0.5000 0.8502  4 C 2.11
C1 0.0000 0.5000 0.2500  4 Zn 2.11
C2 0.0000 0.5000 0.7500  4 Zn 2.11
C3 0.5000 0.0000 0.2500  4 Zn 2.11
C4 0.5000 0.0000 0.7500  4 Zn 2.11

A relaxed structure of PrHo2ErAg4, computed with GGA-PBE.

Calculated values
Its space group is R-3m. The calculated total energy comes out at -32.3 eV per cell. Its formation energy is -29 kJ per mole of atoms. For the density of states at the Fermi level, the calculation gives 0.662 states/eV/atom.

Lattice parameters (Å, degrees): 9.0170 9.0170 9.0170 33.27 33.27 33.27
Last column: nearest neighbours and their distance in Å.
Atoms (fractional coordinates):
Pr1 0.0000 0.0000 0.0000  8 Ag 3.21-3.25
Ho1 0.2483 0.2483 0.2483  8 Ag 3.09-3.36
Ho2 0.7517 0.7517 0.7517  8 Ag 3.09-3.36
Er1 0.5000 0.5000 0.5000  8 Ag 3.06-3.14
Ag1 0.1274 0.1274 0.1274  4 Ho 3.09-3.17, 3 Er 3.14, 1 Pr 3.25
Ag2 0.3801 0.3801 0.3801  1 Er 3.06, 4 Ho 3.14-3.36, 3 Pr 3.21
Ag3 0.6199 0.6199 0.6199  1 Er 3.06, 4 Ho 3.14-3.36, 3 Pr 3.21
Ag4 0.8726 0.8726 0.8726  4 Ho 3.09-3.17, 3 Er 3.14, 1 Pr 3.25

A relaxed structure of NaSb2As2, computed with GGA-PBE.

Calculated values
Its space group is I4/mmm. The calculated total energy comes out at -38.0 eV per cell. For the density of states at the Fermi level, the calculation gives 0.321 states/eV/atom. The uncorrected formation energy is -0.027 eV per atom.

Lattice parameters (Å, degrees): 5.4337 5.4337 9.7049 90.00 90.00 90.00
Last column: nearest neighbours and their distance in Å.
Atoms (fractional coordinates):
Na1 0.0000 0.0000 0.0000  2 Sb 3.29, 8 As 3.64
Na2 0.5000 0.5000 0.5000  2 Sb 3.29, 8 As 3.64
Sb1 0.0000 0.0000 0.3393  4 As 2.85, 1 Sb 3.12
Sb2 0.0000 0.0000 0.6607  4 As 2.85, 1 Sb 3.12
Sb3 0.5000 0.5000 0.1607  4 As 2.85, 1 Sb 3.12
Sb4 0.5000 0.5000 0.8393  4 As 2.85, 1 Sb 3.12
As1 0.0000 0.5000 0.2500  4 Sb 2.85
As2 0.0000 0.5000 0.7500  4 Sb 2.85
As3 0.5000 0.0000 0.2500  4 Sb 2.85
As4 0.5000 0.0000 0.7500  4 Sb 2.85

A relaxed structure of Pr5Dy6, computed with GGA-PBE.

Calculated values
Its space group is Immm. The calculated total energy comes out at -50.3 eV per cell. Its formation energy is 11 kJ per mole of atoms. For the density of states at the Fermi level, the calculation gives 1.396 states/eV/atom.

Lattice parameters (Å, degrees): 9.5107 9.5107 9.5107 145.41 128.69 63.36
Last column: nearest neighbours and their distance in Å.
Atoms (fractional coordinates):
Pr1 0.0000 0.0000 0.0000  4 Dy 3.28
Pr2 0.1620 0.6620 0.5000  8 Dy 3.57-3.76, 4 Pr 3.62-3.86
Pr3 0.3016 0.3016 0.0000  8 Dy 3.44-3.63, 2 Pr 3.62
Pr4 0.6984 0.6984 0.0000  8 Dy 3.44-3.63, 2 Pr 3.62
Pr5 0.8380 0.3380 0.5000  8 Dy 3.57-3.76, 4 Pr 3.62-3.86
Dy1 0.1600 0.8643 0.2957  4 Pr 3.28-3.63, 3 Dy 3.36-3.58
Dy2 0.2949 0.5000 0.7949  5 Dy 3.38-3.58, 6 Pr 3.57-3.73
Dy3 0.4314 0.1357 0.2957  4 Pr 3.28-3.63, 3 Dy 3.36-3.58
Dy4 0.5686 0.8643 0.7043  4 Pr 3.28-3.63, 3 Dy 3.36-3.58
Dy5 0.7051 0.5000 0.2051  5 Dy 3.38-3.58, 6 Pr 3.57-3.73
Dy6 0.8400 0.1357 0.7043  4 Pr 3.28-3.63, 3 Dy 3.36-3.58

A relaxed structure of Zn2CuW, computed with GGA-PBE.

Calculated values
Its space group is Fm-3m. The calculated total energy comes out at -70.5 eV per cell. Its formation energy is 48 kJ per mole of atoms. For the density of states at the Fermi level, the calculation gives 0.801 states/eV/atom.

Lattice parameters (Å, degrees): 6.1127 6.1127 6.1127 90.00 90.00 90.00
Last column: nearest neighbours and their distance in Å.
Atoms (fractional coordinates):
Zn1 0.2500 0.2500 0.2500  4 W 2.65, 4 Cu 2.65
Zn2 0.2500 0.2500 0.7500  4 Cu 2.65, 4 W 2.65
Zn3 0.2500 0.7500 0.2500  4 Cu 2.65, 4 W 2.65
Zn4 0.2500 0.7500 0.7500  4 W 2.65, 4 Cu 2.65
Zn5 0.7500 0.2500 0.2500  4 Cu 2.65, 4 W 2.65
Zn6 0.7500 0.2500 0.7500  4 W 2.65, 4 Cu 2.65
Zn7 0.7500 0.7500 0.2500  4 W 2.65, 4 Cu 2.65
Zn8 0.7500 0.7500 0.7500  4 W 2.65, 4 Cu 2.65
Cu1 0.0000 0.0000 0.0000  8 Zn 2.65
Cu2 0.0000 0.5000 0.5000  8 Zn 2.65
Cu3 0.5000 0.0000 0.5000  8 Zn 2.65
Cu4 0.5000 0.5000 0.0000  8 Zn 2.65
W1 0.0000 0.0000 0.5000  8 Zn 2.65
W2 0.0000 0.5000 0.0000  8 Zn 2.65
W3 0.5000 0.0000 0.0000  8 Zn 2.65
W4 0.5000 0.5000 0.5000  8 Zn 2.65

A relaxed structure of BaV2CuMo, computed with GGA-PBE.

Calculated values
Its space group is P4/mmm. The calculated total energy comes out at -21.3 eV per cell. Its formation energy is 265 kJ per mole of atoms. For the density of states at the Fermi level, the calculation gives 1.959 states/eV/atom.

Lattice parameters (Å, degrees): 4.8063 4.8063 4.8485 90.00 90.00 90.00
Last column: nearest neighbours and their distance in Å.
Atoms (fractional coordinates):
Ba1 0.0000 0.0000 0.0000  4 V 2.40, 2 Cu 2.42
V1 0.0000 0.5000 0.0000  2 Ba 2.40
V2 0.5000 0.0000 0.0000  2 Ba 2.40
Cu1 0.0000 0.0000 0.5000  2 Ba 2.42
Mo1 0.5000 0.5000 0.5000  4 Cu 3.40, 8 V 3.41

A relaxed structure of SrZn2Ag2Pt, computed with GGA-PBE.

Calculated values
Its space group is P4/mmm. The calculated total energy comes out at -17.6 eV per cell. Its formation energy is -26 kJ per mole of atoms. For the density of states at the Fermi level, the calculation gives 0.490 states/eV/atom.

Lattice parameters (Å, degrees): 4.8823 4.8823 5.7915 90.00 90.00 90.00
Last column: nearest neighbours and their distance in Å.
Atoms (fractional coordinates):
Sr1 0.0000 0.0000 0.0000  2 Pt 2.90
Zn1 0.0000 0.5000 0.5000  2 Pt 2.44
Zn2 0.5000 0.0000 0.5000  2 Pt 2.44
Ag1 0.5000 0.5000 0.2424  2 Ag 2.81-2.98, 4 Zn 2.86
Ag2 0.5000 0.5000 0.7576  2 Ag 2.81-2.98, 4 Zn 2.86
Pt1 0.0000 0.0000 0.5000  4 Zn 2.44

A relaxed structure of CePaGaOs, computed with GGA-PBE.

Calculated values
Its space group is F-43m. The calculated total energy comes out at -121.4 eV per cell. Its formation energy is -16 kJ per mole of atoms. For the density of states at the Fermi level, the calculation gives 2.018 states/eV/atom.

Lattice parameters (Å, degrees): 6.8368 6.8368 6.8368 90.00 90.00 90.00
Last column: nearest neighbours and their distance in Å.
Atoms (fractional coordinates):
Ce1 0.0000 0.0000 0.0000  4 Pa 2.96, 4 Ga 2.96
Ce2 0.0000 0.5000 0.5000  4 Pa 2.96, 4 Ga 2.96
Ce3 0.5000 0.0000 0.5000  4 Pa 2.96, 4 Ga 2.96
Ce4 0.5000 0.5000 0.0000  4 Pa 2.96, 4 Ga 2.96
Pa1 0.2500 0.2500 0.2500  4 Ce 2.96, 4 Os 2.96
Pa2 0.2500 0.7500 0.7500  4 Ce 2.96, 4 Os 2.96
Pa3 0.7500 0.2500 0.7500  4 Ce 2.96, 4 Os 2.96
Pa4 0.7500 0.7500 0.2500  4 Ce 2.96, 4 Os 2.96
Ga1 0.2500 0.2500 0.7500  4 Ce 2.96, 4 Os 2.96
Ga2 0.2500 0.7500 0.2500  4 Ce 2.96, 4 Os 2.96
Ga3 0.7500 0.2500 0.2500  4 Ce 2.96, 4 Os 2.96
Ga4 0.7500 0.7500 0.7500  4 Os 2.96, 4 Ce 2.96
Os1 0.0000 0.0000 0.5000  4 Pa 2.96, 4 Ga 2.96
Os2 0.0000 0.5000 0.0000  4 Pa 2.96, 4 Ga 2.96
Os3 0.5000 0.0000 0.0000  4 Pa 2.96, 4 Ga 2.96
Os4 0.5000 0.5000 0.5000  4 Ga 2.96, 4 Pa 2.96

A relaxed structure of BaCd3, computed with GGA-PBE.

Calculated values
Its space group is C2/m. The calculated total energy comes out at -11.2 eV per cell. Its formation energy is -22 kJ per mole of atoms. For the density of states at the Fermi level, the calculation gives 0.864 states/eV/atom.

Lattice parameters (Å, degrees): 8.7339 5.0329 6.4862 90.00 116.25 90.00
Last column: nearest neighbours and their distance in Å.
Atoms (fractional coordinates):
Ba1 0.0000 0.0000 0.0000  8 Cd 3.63-3.64
Ba2 0.5000 0.5000 0.0000  8 Cd 3.63-3.64
Cd1 0.0000 0.5000 0.5000  6 Cd 2.99-3.00
Cd2 0.2084 0.0000 0.6246  6 Cd 2.99-3.26
Cd3 0.2916 0.5000 0.3754  6 Cd 2.99-3.26
Cd4 0.5000 0.0000 0.5000  6 Cd 2.99-3.00
Cd5 0.7084 0.5000 0.6246  6 Cd 2.99-3.26
Cd6 0.7916 0.0000 0.3754  6 Cd 2.99-3.26

A relaxed structure of Ac2CePm3S6, computed with GGA-PBE.

Calculated values
Its space group is C2/m. The calculated total energy comes out at -77.3 eV per cell. For the density of states at the Fermi level, the calculation gives 0.865 states/eV/atom. The uncorrected formation energy is -2.011 eV per atom.

Lattice parameters (Å, degrees): 9.2366 9.2366 8.3078 103.24 103.24 25.68
Last column: nearest neighbours and their distance in Å.
Atoms (fractional coordinates):
Ac1 0.1646 0.1646 0.3308  6 S 2.97-3.01
Ac2 0.8354 0.8354 0.6692  6 S 2.97-3.01
Ce1 0.5000 0.5000 0.0000  6 S 2.92-2.93
Pm1 0.1673 0.1673 0.8366  6 S 2.84-2.91
Pm2 0.5000 0.5000 0.5000  6 S 2.86-2.92
Pm3 0.8327 0.8327 0.1634  6 S 2.84-2.91
S1 0.0051 0.0051 0.7516  3 Pm 2.84-2.92, 2 Ce 2.93, 1 Ac 2.97
S2 0.3335 0.3335 0.9282  3 Pm 2.84-2.91, 1 Ce 2.92, 2 Ac 2.98
S3 0.3367 0.3367 0.4055  3 Pm 2.86, 3 Ac 3.01
S4 0.6633 0.6633 0.5945  3 Pm 2.86, 3 Ac 3.01
S5 0.6665 0.6665 0.0718  3 Pm 2.84-2.91, 1 Ce 2.92, 2 Ac 2.98
S6 0.9949 0.9949 0.2484  3 Pm 2.84-2.92, 2 Ce 2.93, 1 Ac 2.97